No. 1
Below is an optimized crystal structure of BaMg2Au, with properties calculated at the PBE level.

The value obtained for the total energy is -9.49 eV for the cell shown. The density of states at the Fermi level is 2.4 states/eV/f.u. The value obtained for the calculated formation energy is -0.2753 eV/atom.

It has space group P4/mmm (No. 123), with a = 3.561 Å, b = 3.561 Å, c = 8.582 Å, α = 90.00°, β = 90.00° and γ = 90.00°. The inequivalent atoms are Ba at (0.000, 0.000, 0.000), Mg at (0.500, 0.500, 0.328) and Au at (0.000, 0.000, 0.500).

No. 2
Below is an optimized crystal structure of BaMgAu3, with properties calculated at the PBE level.

The value obtained for the total energy is -15.59 eV for the cell shown. The density of states at the Fermi level is 1.5 states/eV/f.u. The value obtained for the calculated formation energy is -0.4489 eV/atom. Its energy above the most stable polymorph in this dataset is 0.0000 eV/atom.

It has space group Pm-3m (No. 221), with a = 5.174 Å, b = 5.174 Å, c = 5.174 Å, α = 90.00°, β = 90.00° and γ = 90.00°. The inequivalent atoms are Ba at (0.000, 0.000, 0.000), Mg at (0.500, 0.500, 0.500) and Au at (0.000, 0.500, 0.500).

No. 3
Below is an optimized crystal structure of Ba2Mg9Au3, with properties calculated at the PBE level.

The value obtained for the total energy is -131.42 eV for the cell shown. The density of states at the Fermi level is 8.6 states/eV/f.u. The value obtained for the calculated formation energy is -0.3447 eV/atom.

It has space group C2/c (No. 15), with a = 15.149 Å, b = 8.373 Å, c = 11.989 Å, α = 90.00°, β = 116.18° and γ = 90.00°. The inequivalent atoms are Ba at (0.174, 0.078, 0.240), Mg at (0.000, 0.348, 0.250), Mg at (0.060, 0.075, 0.917), Mg at (0.090, 0.410, 0.027), Mg at (0.100, 0.324, 0.746), Mg at (0.224, 0.416, 0.441), Au at (0.089, 0.242, 0.508) and Au at (0.250, 0.250, 0.000).

Look up the calculated formation energy of the third one. -0.3447 eV/atom